Entry 1:
## LiCoIr2 (PBE)

Data for LiCoIr2 after structural relaxation.

Unit cell a=4.5750 b=4.5750 c=4.5750 alpha=132.80 beta=132.80 gamma=68.97
Element x y z (fractional)
Li 0.0000 0.0000 0.0000
Co 0.2500 0.7500 0.5000
Ir 0.5000 0.5000 0.0000
Ir 0.7500 0.2500 0.5000

Output
ΔH_f (0 K): 0.0 eV per formula unit
Energy above the lowest structure with this stoichiometry: 34 meV per atom
SG: I-4m2, No. 119



Entry 2:
## ScHg2Br (PBE)

Data for ScHg2Br after structural relaxation.

Unit cell a=5.6651 b=5.6651 c=3.5279 alpha=90.00 beta=90.00 gamma=118.57
Element x y z (fractional)
Sc 0.0000 0.0000 0.0000
Hg 0.0000 0.5000 0.5000
Hg 0.5000 0.0000 0.5000
Br 0.5000 0.5000 0.0000

Output
E_form (uncorrected): -0.32 eV/atom
Energy above the lowest structure with this stoichiometry: 211 meV per atom
SG: Cmmm, No. 65



Entry 3:
## GdScAlCu (PBE)

Data for GdScAlCu after structural relaxation.

Unit cell a=4.9166 b=4.9166 c=4.9166 alpha=60.00 beta=60.00 gamma=60.00
Element x y z (fractional)
Gd 0.0000 0.0000 0.0000
Sc 0.5000 0.5000 0.5000
Al 0.7500 0.7500 0.7500
Cu 0.2500 0.2500 0.2500

Output
ΔH_f (0 K): -1.1 eV per formula unit
SG: F-43m, No. 216



Entry 4:
## CaScPCl2 (PBE)

Data for CaScPCl2 after structural relaxation.

Unit cell a=4.8847 b=4.8847 c=5.2478 alpha=90.00 beta=90.00 gamma=90.00
Element x y z (fractional)
Ca 0.0000 0.0000 0.0000
Sc 0.5000 0.5000 0.5000
P 0.5000 0.5000 0.0000
Cl 0.0000 0.5000 0.5000
Cl 0.5000 0.0000 0.5000

Output
E_form (uncorrected): -1.40 eV/atom
Energy above the lowest structure with this stoichiometry: 0 meV per atom
SG: P4/mmm, No. 123



Entry 5:
## Tb3Al3Pd2 (PBE)

Data for Tb3Al3Pd2 after structural relaxation.

Unit cell a=8.2057 b=15.2320 c=5.5619 alpha=90.00 beta=90.00 gamma=90.00
Element x y z (fractional)
Tb 0.0388 0.1115 0.1164
Tb 0.0388 0.3885 0.1164
Tb 0.1824 0.2500 0.6180
Tb 0.3176 0.7500 0.1180
Tb 0.4612 0.6115 0.6164
Tb 0.4612 0.8885 0.6164
Tb 0.5388 0.1115 0.3836
Tb 0.5388 0.3885 0.3836
Tb 0.6824 0.2500 0.8820
Tb 0.8176 0.7500 0.3820
Tb 0.9612 0.6115 0.8836
Tb 0.9612 0.8885 0.8836
Al 0.1673 0.7500 0.6119
Al 0.1857 0.0345 0.6085
Al 0.1857 0.4655 0.6085
Al 0.3143 0.5345 0.1085
Al 0.3143 0.9655 0.1085
Al 0.3327 0.2500 0.1119
Al 0.6673 0.7500 0.8881
Al 0.6857 0.0345 0.8915
Al 0.6857 0.4655 0.8915
Al 0.8143 0.5345 0.3915
Al 0.8143 0.9655 0.3915
Al 0.8327 0.2500 0.3881
Pd 0.0991 0.6065 0.3747
Pd 0.0991 0.8935 0.3747
Pd 0.4009 0.1065 0.8747
Pd 0.4009 0.3935 0.8747
Pd 0.5991 0.6065 0.1253
Pd 0.5991 0.8935 0.1253
Pd 0.9009 0.1065 0.6253
Pd 0.9009 0.3935 0.6253

Output
ΔH_f (0 K): -5.6 eV per formula unit
SG: Pnma, No. 62



Entry 6:
## Sc2GeAu (PBE)

Data for Sc2GeAu after structural relaxation.

Unit cell a=4.7586 b=4.7586 c=3.4468 alpha=90.00 beta=90.00 gamma=90.00
Element x y z (fractional)
Sc 0.0000 0.5000 0.0000
Sc 0.5000 0.0000 0.0000
Ge 0.0000 0.0000 0.5000
Au 0.5000 0.5000 0.5000

Output
ΔH_f (0 K): -2.9 eV per formula unit
SG: P4/mmm, No. 123



Entry 7:
## Cr2CuOs (PBE)

Data for Cr2CuOs after structural relaxation.

Unit cell a=4.1725 b=4.1725 c=4.1725 alpha=60.00 beta=60.00 gamma=60.00
Element x y z (fractional)
Cr 0.0000 0.0000 0.0000
Cr 0.2500 0.2500 0.2500
Cu 0.7500 0.7500 0.7500
Os 0.5000 0.5000 0.5000

Output
ΔH_f (0 K): 1.0 eV per formula unit
SG: F-43m, No. 216



Entry 8:
## PaSb2Mo (PBE)

Data for PaSb2Mo after structural relaxation.

Unit cell a=3.4172 b=3.4172 c=7.5199 alpha=90.00 beta=90.00 gamma=90.00
Element x y z (fractional)
Pa 0.0000 0.0000 0.0000
Sb 0.5000 0.5000 0.2877
Sb 0.5000 0.5000 0.7123
Mo 0.0000 0.0000 0.5000

Output
E_form (uncorrected): -0.01 eV/atom
Energy above the lowest structure with this stoichiometry: 51 meV per atom
SG: P4/mmm, No. 123



Entry 9:
## Si2TcTe (PBE)

Data for Si2TcTe after structural relaxation.

Unit cell a=3.2452 b=4.3843 c=4.8433 alpha=90.00 beta=90.00 gamma=90.00
Element x y z (fractional)
Si 0.0000 0.0000 0.0000
Si 0.5000 0.0000 0.5000
Tc 0.0000 0.5000 0.5000
Te 0.5000 0.5000 0.0000

Output
E_form (uncorrected): 0.65 eV/atom
SG: Pmmm, No. 47



Entry 10:
## KGaSi (PBE)

Data for KGaSi after structural relaxation.

Unit cell a=7.7626 b=7.7626 c=6.4304 alpha=106.26 beta=106.26 gamma=27.80
Element x y z (fractional)
K 0.0000 0.0000 0.0000
K 0.1831 0.1831 0.6305
Ga 0.3366 0.3366 0.1440
Ga 0.7062 0.7062 0.1664
Si 0.4649 0.4649 0.4950
Si 0.8602 0.8602 0.4667

Output
E_form (uncorrected): 0.04 eV/atom
SG: Cm, No. 8



Entry 11:
## PSBr3 (PBE)

Data for PSBr3 after structural relaxation.

Unit cell a=5.1281 b=5.1281 c=5.1281 alpha=90.00 beta=90.00 gamma=90.00
Element x y z (fractional)
P 0.0000 0.0000 0.0000
S 0.5000 0.5000 0.5000
Br 0.0000 0.0000 0.5000
Br 0.0000 0.5000 0.0000
Br 0.5000 0.0000 0.0000

Output
E_form (uncorrected): 0.52 eV/atom
Energy above the lowest structure with this stoichiometry: 550 meV per atom
SG: Pm-3m, No. 221



Entry 12:
## YAg2Sb (PBE)

Data for YAg2Sb after structural relaxation.

Unit cell a=3.3600 b=4.4090 c=6.4352 alpha=90.00 beta=104.75 gamma=90.00
Element x y z (fractional)
Y 0.0000 0.0000 0.0000
Ag 0.2450 0.0000 0.4822
Ag 0.6544 0.5000 0.3054
Sb 0.3922 0.5000 0.7787

Output
E_form (uncorrected): -0.31 eV/atom
SG: Pm, No. 6



Entry 13:
## PaIn2Ag (PBE)

Data for PaIn2Ag after structural relaxation.

Unit cell a=5.1264 b=5.1264 c=5.1264 alpha=60.00 beta=60.00 gamma=60.00
Element x y z (fractional)
Pa 0.0000 0.0000 0.0000
In 0.2500 0.2500 0.2500
In 0.7500 0.7500 0.7500
Ag 0.5000 0.5000 0.5000

Output
ΔH_f (0 K): 0.5 eV per formula unit
Energy above the lowest structure with this stoichiometry: 155 meV per atom
SG: Fm-3m, No. 225



Entry 14:
## Li3Er3InS8 (PBE)

Data for Li3Er3InS8 after structural relaxation.

Unit cell a=7.5478 b=7.5478 c=7.5478 alpha=61.70 beta=61.70 gamma=61.70
Element x y z (fractional)
Li 0.0000 0.5000 0.5000
Li 0.5000 0.0000 0.5000
Li 0.5000 0.5000 0.0000
Er 0.0000 0.0000 0.5000
Er 0.0000 0.5000 0.0000
Er 0.5000 0.0000 0.0000
In 0.5000 0.5000 0.5000
S 0.2498 0.2498 0.2498
S 0.2543 0.2543 0.7424
S 0.2543 0.7424 0.2543
S 0.2576 0.7457 0.7457
S 0.7424 0.2543 0.2543
S 0.7457 0.2576 0.7457
S 0.7457 0.7457 0.2576
S 0.7502 0.7502 0.7502

Output
E_form (uncorrected): -1.49 eV/atom
SG: R-3m, No. 166



Entry 15:
## LiMgCl2 (PBE)

Data for LiMgCl2 after structural relaxation.

Unit cell a=3.7021 b=3.7581 c=7.8688 alpha=90.00 beta=90.00 gamma=90.00
Element x y z (fractional)
Li 0.0000 0.0000 0.0000
Mg 0.0000 0.5000 0.5000
Cl 0.5000 0.0000 0.5000
Cl 0.5000 0.5000 0.0000

Output
E_form (uncorrected): -1.11 eV/atom
Energy above the lowest structure with this stoichiometry: 186 meV per atom
SG: Pmmm, No. 47



Entry 16:
## ZnCr2Tc (PBE)

Data for ZnCr2Tc after structural relaxation.

Unit cell a=2.7396 b=3.6619 c=5.2717 alpha=90.00 beta=90.00 gamma=90.00
Element x y z (fractional)
Zn 0.0000 0.0000 0.0000
Cr 0.0000 0.0000 0.4899
Cr 0.5000 0.5000 0.2659
Tc 0.5000 0.5000 0.7192

Output
ΔH_f (0 K): 0.9 eV per formula unit
SG: Pmm2, No. 25



Entry 17:
## HoThTl (PBE)

Data for HoThTl after structural relaxation.

Unit cell a=5.3922 b=5.3922 c=3.6116 alpha=90.00 beta=90.00 gamma=120.00
Element x y z (fractional)
Ho 0.0000 0.0000 0.0000
Th 0.3333 0.6667 0.5255
Tl 0.6667 0.3333 0.1254

Output
ΔH_f (0 K): 0.1 eV per formula unit
Energy above the lowest structure with this stoichiometry: 162 meV per atom
SG: P3m1, No. 156



Entry 18:
## U2IrRh (PBE)

Data for U2IrRh after structural relaxation.

Unit cell a=10.2952 b=10.2952 c=10.2952 alpha=16.19 beta=16.19 gamma=16.19
Element x y z (fractional)
U 0.0848 0.0848 0.0848
U 0.9152 0.9152 0.9152
Ir 0.5000 0.5000 0.5000
Rh 0.0000 0.0000 0.0000

Output
ΔH_f (0 K): 0.1 eV per formula unit
Energy above the lowest structure with this stoichiometry: 645 meV per atom
SG: R-3m, No. 166



Entry 19:
## MgTe2H (PBE)

Data for MgTe2H after structural relaxation.

Unit cell a=6.6523 b=6.6523 c=6.6523 alpha=123.35 beta=123.35 gamma=84.29
Element x y z (fractional)
Mg 0.0000 0.0000 0.0000
Mg 0.7500 0.2500 0.5000
Te 0.1983 0.6250 0.0733
Te 0.3750 0.4483 0.5733
Te 0.5517 0.1250 0.9267
Te 0.8750 0.8017 0.4267
H 0.2500 0.7500 0.5000
H 0.5000 0.5000 0.0000

Output
Energy above the lowest structure with this stoichiometry: 222 meV per atom
SG: I-42d, No. 122



Entry 20:
## SrLa2Pb (PBE)

Data for SrLa2Pb after structural relaxation.

Unit cell a=3.8289 b=3.8289 c=10.1590 alpha=90.00 beta=90.00 gamma=90.00
Element x y z (fractional)
Sr 0.0000 0.0000 0.0000
La 0.0000 0.0000 0.5561
La 0.5000 0.5000 0.3013
Pb 0.5000 0.5000 0.7744

Output
ΔH_f (0 K): -0.8 eV per formula unit
SG: P4mm, No. 99



Entry 21:
## DyAlAg2S4 (PBE)

Data for DyAlAg2S4 after structural relaxation.

Unit cell a=7.1464 b=7.9360 c=7.9769 alpha=119.81 beta=116.51 gamma=90.04
Element x y z (fractional)
Dy 0.0000 0.0000 0.0000
Dy 0.9999 0.4865 0.0000
Al 0.0390 0.5241 0.5617
Al 0.5231 0.5245 0.5626
Ag 0.2997 0.0442 0.6020
Ag 0.5354 0.0320 0.0744
Ag 0.5355 0.5290 0.0745
Ag 0.7537 0.0189 0.5513
S 0.2234 0.2152 0.9436
S 0.2296 0.2744 0.4601
S 0.2297 0.6721 0.4601
S 0.2348 0.7192 0.9517
S 0.7161 0.7195 0.9528
S 0.7195 0.2155 0.9448
S 0.7529 0.3045 0.5079
S 0.7530 0.6898 0.5079

Output
E_form (uncorrected): -0.95 eV/atom
SG: P1, No. 1



Entry 22:
## Rb3Hg2Sb4Pb2 (PBE)

Data for Rb3Hg2Sb4Pb2 after structural relaxation.

Unit cell a=5.0587 b=5.0587 c=19.9640 alpha=90.00 beta=90.00 gamma=120.00
Element x y z (fractional)
Rb 0.0000 0.0000 0.0000
Rb 0.0000 0.0000 0.2699
Rb 0.0000 0.0000 0.7301
Hg 0.3333 0.6667 0.1354
Hg 0.6667 0.3333 0.8646
Sb 0.3333 0.6667 0.3963
Sb 0.3333 0.6667 0.8631
Sb 0.6667 0.3333 0.1369
Sb 0.6667 0.3333 0.6037
Pb 0.3333 0.6667 0.5555
Pb 0.6667 0.3333 0.4445

Output
E_form (uncorrected): -0.27 eV/atom
SG: P-3m1, No. 164



Entry 23:
## ErPuTi (PBE)

Data for ErPuTi after structural relaxation.

Unit cell a=8.2573 b=8.2573 c=8.2573 alpha=94.77 beta=94.77 gamma=146.48
Element x y z (fractional)
Er 0.1676 0.1676 0.3352
Er 0.1676 0.8324 0.0000
Er 0.8324 0.1676 0.0000
Er 0.8324 0.8324 0.6648
Pu 0.0000 0.3748 0.3748
Pu 0.0000 0.6252 0.6252
Pu 0.3748 0.0000 0.3748
Pu 0.6252 0.0000 0.6252
Ti 0.2563 0.5000 0.7563
Ti 0.5000 0.2563 0.7563
Ti 0.5000 0.7437 0.2437
Ti 0.7437 0.5000 0.2437

Output
ΔH_f (0 K): 1.4 eV per formula unit
SG: I4/mmm, No. 139



Entry 24:
## LiCa2CdPd (PBE)

Data for LiCa2CdPd after structural relaxation.

Unit cell a=5.5527 b=5.5527 c=4.7621 alpha=90.00 beta=90.00 gamma=90.00
Element x y z (fractional)
Li 0.0000 0.0000 0.0000
Ca 0.0000 0.5000 0.5000
Ca 0.5000 0.0000 0.5000
Cd 0.5000 0.5000 0.0000
Pd 0.0000 0.0000 0.5000

Output
ΔH_f (0 K): -1.3 eV per formula unit
Energy above the lowest structure with this stoichiometry: 0 meV per atom
SG: P4/mmm, No. 123



Entry 25:
## LaCoSe2 (PBE)

Data for LaCoSe2 after structural relaxation.

Unit cell a=6.8148 b=6.8148 c=6.8148 alpha=148.19 beta=146.78 gamma=46.66
Element x y z (fractional)
La 0.0000 0.0000 0.0000
Co 0.7517 0.2517 0.5000
Se 0.3220 0.8220 0.5000
Se 0.6062 0.6062 0.0000

Output
E_form (uncorrected): -0.79 eV/atom
Energy above the lowest structure with this stoichiometry: 249 meV per atom
SG: Imm2, No. 44



Entry 26:
## CdIn2Sb (PBE)

Data for CdIn2Sb after structural relaxation.

Unit cell a=3.4169 b=4.3244 c=7.2580 alpha=90.00 beta=90.00 gamma=90.00
Element x y z (fractional)
Cd 0.0000 0.0000 0.0000
In 0.0000 0.0000 0.5092
In 0.5000 0.5000 0.2433
Sb 0.5000 0.5000 0.7686

Output
E_form (uncorrected): 0.06 eV/atom
Energy above the lowest structure with this stoichiometry: 21 meV per atom
SG: Pmm2, No. 25